## PrNd2HoTm4 (PBE-GGA)

Data for a relaxed structure of PrNd2HoTm4.

Calculated values
- Formation energy: 417 meV/atom
- DFT total energy: -4.18 eV per atom
- Total magnetic moment: 0.08 Bohr magnetons per cell

abc: 6.780 11.832 13.227
angles: 90.00 90.00 90.00
Space group Imma (No. 74)
One atom of each set of equivalent atoms:
1 Pr 0.000 0.000 0.000 x4
2 Nd 0.000 0.000 0.500 x4
3 Nd 0.250 0.250 0.250 x4
4 Ho 0.250 0.250 0.750 x4
5 Tm 0.000 0.004 0.750 x8
6 Tm 0.250 0.250 0.504 x8



## PrNd3HoTm (PBE-GGA)

Data for a relaxed structure of PrNd3HoTm.

Calculated values
- Formation energy: 114 meV/atom
- DFT total energy: -4.58 eV per atom
- Total magnetic moment: 0.00 Bohr magnetons per cell

abc: 5.917 11.640 11.820
angles: 90.00 90.00 90.00
Space group Cmcm (No. 63)
One atom of each set of equivalent atoms:
1 Pr 0.000 0.000 0.000 x4
2 Nd 0.000 0.171 0.250 x4
3 Nd 0.000 0.327 0.524 x8
4 Ho 0.000 0.479 0.250 x4
5 Tm 0.000 0.147 0.750 x4



## PrNd2HoTm5 (PBE-GGA)

Data for a relaxed structure of PrNd2HoTm5.

Calculated values
- Formation energy: 263 meV/atom
- DFT total energy: -4.32 eV per atom
- Total magnetic moment: 0.00 Bohr magnetons per cell

abc: 8.710 8.710 15.324
angles: 90.00 90.00 90.00
Space group I4/mcm (No. 140)
One atom of each set of equivalent atoms:
1 Pr 0.000 0.000 0.250 x4
2 Nd 0.117 0.383 0.000 x8
3 Ho 0.000 0.500 0.250 x4
4 Tm 0.000 0.000 0.000 x4
5 Tm 0.210 0.290 0.362 x16



## Pr5NdHoTm2 (PBE-GGA)

Data for a relaxed structure of Pr5NdHoTm2.

Calculated values
- Formation energy: 145 meV/atom
- DFT total energy: -4.54 eV per atom
- Total magnetic moment: 0.00 Bohr magnetons per cell

abc: 5.668 20.559 10.827
angles: 90.00 90.00 90.00
Space group Cmc2_1 (No. 36)
One atom of each set of equivalent atoms:
1 Pr 0.000 0.015 0.000 x4
2 Pr 0.000 0.281 0.290 x4
3 Pr 0.000 0.295 0.683 x4
4 Pr 0.000 0.388 0.004 x4
5 Pr 0.000 0.482 0.724 x4
6 Nd 0.000 0.201 0.989 x4
7 Ho 0.000 0.409 0.441 x4
8 Tm 0.000 0.110 0.722 x4
9 Tm 0.000 0.116 0.291 x4



## PrNd3Ho2Tm6 (PBE-GGA)

Data for a relaxed structure of PrNd3Ho2Tm6.

Calculated values
- Formation energy: 21 meV/atom
- DFT total energy: -4.57 eV per atom
- Total magnetic moment: 0.00 Bohr magnetons per cell

abc: 6.179 10.698 11.716
angles: 90.00 100.09 90.00
Space group C2/m (No. 12)
One atom of each set of equivalent atoms:
1 Pr 0.000 0.000 0.000 x2
2 Nd 0.000 0.167 0.500 x4
3 Nd 0.000 0.500 0.500 x2
4 Ho 0.000 0.333 0.000 x4
5 Tm 0.249 0.500 0.248 x4
6 Tm 0.250 0.167 0.248 x8



## Pr2Nd4HoTm (PBE-GGA)

Data for a relaxed structure of Pr2Nd4HoTm.

Calculated values
- Formation energy: 16 meV/atom
- DFT total energy: -4.69 eV per atom
- Total magnetic moment: 0.00 Bohr magnetons per cell

abc: 5.149 5.177 10.276
angles: 90.00 90.10 90.00
Space group P2/m (No. 10)
One atom of each set of equivalent atoms:
1 Pr 0.000 0.000 0.000 x1
2 Pr 0.500 0.500 0.500 x1
3 Nd 0.000 0.500 0.249 x2
4 Nd 0.500 0.000 0.250 x2
5 Ho 0.000 0.000 0.500 x1
6 Tm 0.500 0.500 0.000 x1



## PrNdHo3Tm (PBE-GGA)

Data for a relaxed structure of PrNdHo3Tm.

Calculated values
- Formation energy: 192 meV/atom
- DFT total energy: -4.43 eV per atom
- Total magnetic moment: 0.00 Bohr magnetons per cell

abc: 19.549 5.657 7.118
angles: 90.00 90.38 90.00
Space group C2/m (No. 12)
One atom of each set of equivalent atoms:
1 Pr 0.146 0.000 0.031 x4
2 Nd 0.051 0.500 0.266 x4
3 Ho 0.023 0.000 0.737 x4
4 Ho 0.166 0.500 0.732 x4
5 Ho 0.220 0.500 0.247 x4
6 Tm 0.151 0.000 0.458 x4



## Pr3Nd2HoTm6 (PBE-GGA)

Data for a relaxed structure of Pr3Nd2HoTm6.

Calculated values
- Formation energy: 19 meV/atom
- DFT total energy: -4.59 eV per atom
- Total magnetic moment: 0.00 Bohr magnetons per cell

abc: 6.217 10.765 11.743
angles: 90.00 100.14 90.00
Space group C2/m (No. 12)
One atom of each set of equivalent atoms:
1 Pr 0.000 0.000 0.000 x2
2 Pr 0.000 0.333 0.000 x4
3 Nd 0.000 0.166 0.500 x4
4 Ho 0.000 0.500 0.500 x2
5 Tm 0.249 0.334 0.748 x8
6 Tm 0.250 0.000 0.748 x4



Repeat the seventh record exactly.
## PrNdHo3Tm (PBE-GGA)

Data for a relaxed structure of PrNdHo3Tm.

Calculated values
- Formation energy: 192 meV/atom
- DFT total energy: -4.43 eV per atom
- Total magnetic moment: 0.00 Bohr magnetons per cell

abc: 19.549 5.657 7.118
angles: 90.00 90.38 90.00
Space group C2/m (No. 12)
One atom of each set of equivalent atoms:
1 Pr 0.146 0.000 0.031 x4
2 Nd 0.051 0.500 0.266 x4
3 Ho 0.023 0.000 0.737 x4
4 Ho 0.166 0.500 0.732 x4
5 Ho 0.220 0.500 0.247 x4
6 Tm 0.151 0.000 0.458 x4